1.
10
Lattice="-1.959 2.928 2.182 -5.812 -0.684 -4.301 -2.678 -5.094 4.429" Properties=species:S:1:pos:R:3 comment="Ho2Ge3 GGA-PBE relaxed" e_form_mev_per_atom=-676 pbc="T T T"
Ho -3.324 0.332 0.505
Ho -7.125 -3.182 1.806
Ho -3.840 -2.118 3.329
Ho -6.610 -0.732 -1.018
Ge -4.536 -4.723 2.263
Ge -1.726 -2.002 1.136
Ge -4.245 -2.889 0.064
Ge 0.000 0.000 0.000
Ge -3.954 -1.055 -2.134
Ge -6.764 -3.776 -1.008

=====

2.
5
Lattice="3.678 0.000 1.737 1.115 4.969 2.402 -0.399 -0.356 5.605" Properties=species:S:1:pos:R:3 comment="Ho2Ge3 GGA-PBE relaxed" e_form_mev_per_atom=-729 pbc="T T T"
Ge 0.000 0.000 0.000
Ge 1.895 1.244 5.511
Ge 2.499 3.369 4.233
Ho 1.024 1.269 2.593
Ho 3.369 3.344 7.151

=====

3.
36
Lattice="7.621 0.000 0.000 0.000 7.696 0.000 0.000 0.000 14.641" Properties=species:S:1:pos:R:3 comment="Ho5Ge4 GGA-PBE relaxed" e_form_mev_per_atom=-858 pbc="T T T"
Ge 5.494 3.604 13.994
Ge 5.937 7.452 6.673
Ge 2.127 4.092 0.648
Ge 6.372 6.633 10.981
Ge 4.443 0.910 10.981
Ge 2.561 4.911 10.981
Ge 5.494 3.604 7.968
Ge 5.060 2.785 3.660
Ge 2.127 4.092 6.673
Ge 0.633 2.938 10.981
Ge 6.988 4.758 3.660
Ge 1.683 0.244 13.994
Ge 1.249 1.063 3.660
Ge 5.937 7.452 0.648
Ge 1.683 0.244 7.968
Ge 3.178 6.786 3.660
Ho 4.042 6.340 8.810
Ho 4.725 5.084 5.606
Ho 1.639 0.014 10.981
Ho 4.042 6.340 13.152
Ho 3.579 1.357 1.490
Ho 0.232 5.205 13.152
Ho 0.915 6.461 5.606
Ho 7.389 2.491 5.831
Ho 3.579 1.357 5.831
Ho 2.895 2.613 12.927
Ho 5.450 3.834 10.981
Ho 0.915 6.461 1.714
Ho 2.895 2.613 9.035
Ho 6.706 1.235 9.035
Ho 7.389 2.491 1.490
Ho 6.706 1.235 12.927
Ho 0.232 5.205 8.810
Ho 5.982 7.682 3.660
Ho 4.725 5.084 1.714
Ho 2.171 3.862 3.660

=====

4.
8
Lattice="4.103 0.000 0.000 0.000 4.103 0.000 -2.051 -2.051 10.731" Properties=species:S:1:pos:R:3 comment="HoGe GGA-PBE relaxed" e_form_mev_per_atom=-844 pbc="T T T"
Ge 2.051 0.000 1.759
Ge 0.000 0.000 3.607
Ge 2.051 2.051 7.124
Ge 2.051 0.000 8.973
Ho 2.051 2.051 4.162
Ho 0.000 2.051 9.527
Ho 0.000 2.051 1.204
Ho 0.000 0.000 6.569

=====

5.
5
Lattice="-1.413 2.926 2.966 1.048 -4.083 1.255 6.599 2.041 1.131" Properties=species:S:1:pos:R:3 comment="Ho2Ge3 GGA-PBE relaxed" e_form_mev_per_atom=-486 pbc="T T T"
Ge 1.056 1.101 2.679
Ge 5.177 -0.215 2.674
Ge 4.357 2.119 3.244
Ho -1.293 2.963 2.986
Ho 1.766 3.909 3.511

=====

6.
8
Lattice="4.278 0.000 -0.001 0.000 6.461 0.000 -2.139 0.000 6.539" Properties=species:S:1:pos:R:3 comment="HoGe GGA-PBE relaxed" e_form_mev_per_atom=-846 pbc="T T T"
Ho 0.001 4.846 5.930
Ho 2.138 1.615 0.607
Ho 0.000 1.615 3.611
Ho 2.139 4.846 2.926
Ge -0.001 6.164 1.351
Ge -0.001 3.528 1.351
Ge 2.139 0.297 5.186
Ge 2.139 2.934 5.186